Material: HoZn3CuNi
Method: DFT, GGA-PBE
State: optimized geometry

Properties
* raw total energy: -3.18 eV per atom
* Fermi-level density of states: 3.019 states/eV/f.u.
* E_form: -3.00 kcal/mol of atoms

Unit cell a=5.2700 b=5.7164 c=7.0818 alpha=113.80 beta=90.00 gamma=90.00
Fractional positions:
Cu: 0.7500 0.0930 0.1861
Cu: 0.2500 0.9070 0.8139
Zn: 0.0000 0.2862 0.0000
Zn: 0.2500 0.1461 0.2921
Zn: 0.7500 0.8539 0.7079
Zn: 0.5000 0.7138 0.0000
Zn: 0.5000 0.2862 0.0000
Zn: 0.0000 0.7138 0.0000
Ni: 0.2500 0.3497 0.6995
Ni: 0.7500 0.6503 0.3005
Ho: 0.7500 0.2947 0.5894
Ho: 0.2500 0.7053 0.4106


Material: HoZn5CuNi2
Method: DFT, GGA-PBE
State: optimized geometry

Properties
* raw total energy: -3.00 eV per atom
* Fermi-level density of states: 4.956 states/eV/f.u.
* E_form: -0.94 kcal/mol of atoms

Unit cell a=4.5812 b=4.5812 c=6.9308 alpha=90.00 beta=90.00 gamma=90.00
Fractional positions:
Zn: 0.0000 0.5000 0.2020
Zn: 0.0000 0.5000 0.7980
Zn: 0.5000 0.0000 0.7980
Zn: 0.5000 0.5000 0.5000
Zn: 0.5000 0.0000 0.2020
Cu: 0.0000 0.0000 0.0000
Ni: 0.5000 0.5000 0.8352
Ni: 0.5000 0.5000 0.1648
Ho: 0.0000 0.0000 0.5000


Material: HoZrCuNi
Method: DFT, GGA-PBE
State: optimized geometry

Properties
* raw total energy: -5.98 eV per atom
* Fermi-level density of states: 4.278 states/eV/f.u.
* E_form: -5.18 kcal/mol of atoms

Unit cell a=4.7000 b=4.7000 c=4.7000 alpha=60.00 beta=60.00 gamma=60.00
Fractional positions:
Ni: 0.0000 0.0000 0.0000
Ho: 0.7500 0.7500 0.7500
Cu: 0.5000 0.5000 0.5000
Zr: 0.2500 0.2500 0.2500


Material: HoNpCu4
Method: DFT, GGA-PBE
State: optimized geometry

Properties
* raw total energy: -5.58 eV per atom
* Fermi-level density of states: 12.294 states/eV/f.u.
* E_form: 1.72 kcal/mol of atoms

Unit cell a=5.2304 b=5.2304 c=5.2304 alpha=60.00 beta=60.00 gamma=60.00
Each line ends with the local moment (μB).
Fractional positions:
Cu: 0.6253 0.1241 0.6253  0.01
Cu: 0.6253 0.6253 0.6253  0.01
Cu: 0.1241 0.6253 0.6253  0.01
Cu: 0.6253 0.6253 0.1241  0.01
Np: 0.2500 0.2500 0.2500  3.96
Ho: 0.0000 0.0000 0.0000  0.30


Material: HoNpCu2O8
Method: DFT, GGA-PBE
State: optimized geometry

Properties
* E_form (uncorrected): -1.658 eV per atom
* raw total energy: -7.11 eV per atom
* Fermi-level density of states: 9.915 states/eV/f.u.

Unit cell a=5.8646 b=5.8646 c=5.8646 alpha=109.56 beta=109.56 gamma=109.30
Each line ends with the local moment (μB).
Fractional positions:
O: 0.2990 0.5003 0.2013  0.10
O: 0.9554 0.2822 0.3268  0.16
O: 0.3714 0.0446 0.3268  0.16
O: 0.2990 0.0977 0.7987  0.10
O: 0.9023 0.7010 0.2013  0.10
O: 0.9554 0.6286 0.6732  0.16
O: 0.4997 0.7010 0.7987  0.10
O: 0.7178 0.0446 0.6732  0.16
Np: 0.2500 0.7500 0.5000  -0.03
Ho: 0.0000 0.0000 0.0000  0.05
Cu: 0.7500 0.2500 0.5000  0.42
Cu: 0.5000 0.5000 0.0000  0.41


Material: HoNp2CuS5
Method: DFT, GGA-PBE
State: optimized geometry

Properties
* E_form (uncorrected): -1.374 eV per atom
* raw total energy: -7.51 eV per atom
* Fermi-level density of states: 16.648 states/eV/f.u.

Unit cell a=3.7930 b=8.3472 c=11.7164 alpha=90.00 beta=90.00 gamma=103.13
Each line ends with the local moment (μB).
Fractional positions:
Cu: 0.4487 0.8974 0.4240  -0.04
Cu: 0.5513 0.1026 0.9240  -0.04
Np: 0.1169 0.2338 0.6919  3.87
Np: 0.8890 0.7780 0.8470  3.89
Np: 0.8831 0.7662 0.1919  3.87
Np: 0.1110 0.2220 0.3470  3.89
S: 0.6870 0.3739 0.8580  -0.05
S: 0.6532 0.3064 0.5191  -0.09
S: 0.6980 0.3959 0.1903  -0.05
S: 0.3130 0.6261 0.3580  -0.05
S: 0.3020 0.6041 0.6903  -0.05
S: 0.5052 0.0103 0.2489  -0.11
S: 0.0134 0.0268 0.0184  -0.06
S: 0.4948 0.9897 0.7489  -0.11
S: 0.9866 0.9732 0.5184  -0.06
S: 0.3468 0.6936 0.0191  -0.09
Ho: 0.8187 0.6374 0.5263  0.05
Ho: 0.1813 0.3626 0.0263  0.05


Material: Ho2NpCuS5
Method: DFT, GGA-PBE
State: optimized geometry

Properties
* E_form (uncorrected): -1.485 eV per atom
* raw total energy: -6.69 eV per atom
* Fermi-level density of states: 8.312 states/eV/f.u.

Unit cell a=3.7869 b=8.9459 c=11.1358 alpha=90.00 beta=90.00 gamma=102.22
Each line ends with the local moment (μB).
Fractional positions:
S: 0.6391 0.2783 0.5045  -0.02
S: 0.3265 0.6530 0.3373  -0.06
S: 0.3609 0.7217 0.0045  -0.02
S: 0.7032 0.4065 0.1859  -0.06
S: 0.5047 0.0093 0.2789  0.00
S: 0.4953 0.9907 0.7789  0.00
S: 0.9516 0.9032 0.5631  -0.04
S: 0.0484 0.0968 0.0631  -0.04
S: 0.2968 0.5935 0.6859  -0.06
S: 0.6735 0.3470 0.8373  -0.06
Np: 0.1995 0.3989 0.0088  3.77
Np: 0.8005 0.6011 0.5088  3.77
Ho: 0.8846 0.7691 0.8081  0.06
Ho: 0.1154 0.2309 0.3081  0.06
Ho: 0.0961 0.1922 0.6847  0.04
Ho: 0.9039 0.8078 0.1847  0.04
Cu: 0.5616 0.1231 0.9526  -0.03
Cu: 0.4384 0.8769 0.4526  -0.03


Material: HoCuO2
Method: DFT, GGA-PBE
State: optimized geometry

Properties
* E_form (uncorrected): -2.410 eV per atom
* raw total energy: -7.06 eV per atom
* Fermi-level density of states: 0.000 states/eV/f.u.

Unit cell a=3.5284 b=3.5284 c=11.4366 alpha=90.00 beta=90.00 gamma=120.00
Fractional positions:
Ho: 0.0000 0.0000 0.5000
Ho: 0.0000 0.0000 0.0000
O: 0.3333 0.6667 0.4101
O: 0.6667 0.3333 0.5899
O: 0.3333 0.6667 0.0899
O: 0.6667 0.3333 0.9101
Cu: 0.3333 0.6667 0.2500
Cu: 0.6667 0.3333 0.7500


Material: HoCuO3
Method: DFT, GGA-PBE
State: optimized geometry

Properties
* E_form (uncorrected): -2.079 eV per atom
* raw total energy: -6.79 eV per atom

Unit cell a=3.7655 b=5.3077 c=12.2696 alpha=90.00 beta=90.00 gamma=90.00
Fractional positions:
O: 0.7432 0.4908 0.0801
O: 0.2568 0.4908 0.5801
O: 0.1591 0.5000 0.2500
O: 0.1591 0.0000 0.2500
O: 0.8409 0.5000 0.7500
O: 0.2568 0.0092 0.5801
O: 0.7432 0.0092 0.0801
O: 0.2568 0.9908 0.9199
O: 0.8409 0.0000 0.7500
O: 0.2568 0.5092 0.9199
O: 0.7432 0.9908 0.4199
O: 0.7432 0.5092 0.4199
Cu: 0.9138 0.7500 0.3266
Cu: 0.0862 0.7500 0.8266
Cu: 0.9138 0.2500 0.1734
Cu: 0.0862 0.2500 0.6734
Ho: 0.2545 0.2500 0.4186
Ho: 0.7455 0.2500 0.9186
Ho: 0.2545 0.7500 0.0814
Ho: 0.7455 0.7500 0.5814


Material: HoCu6O12
Method: DFT, GGA-PBE
State: optimized geometry

Properties
* E_form (uncorrected): -0.242 eV per atom
* raw total energy: -4.91 eV per atom
* Fermi-level density of states: 17.132 states/eV/f.u.

Unit cell a=6.4570 b=6.4571 c=6.4570 alpha=109.47 beta=109.47 gamma=109.47
Each line ends with the local moment (μB).
Fractional positions:
Cu: 0.6642 0.5000 0.1642  0.47
Cu: 0.3358 0.5000 0.8358  0.47
Cu: 0.8358 0.3358 0.5000  0.47
Cu: 0.1642 0.6642 0.5000  0.47
Cu: 0.5000 0.8358 0.3358  0.47
Cu: 0.5000 0.1642 0.6642  0.47
O: 0.1492 0.6723 0.8215  0.43
O: 0.3277 0.1784 0.8508  0.43
O: 0.1492 0.3277 0.4769  0.43
O: 0.1785 0.8508 0.3277  0.43
O: 0.8215 0.1492 0.6723  0.43
O: 0.8508 0.3277 0.1785  0.43
O: 0.5231 0.8508 0.6723  0.43
O: 0.4769 0.1492 0.3277  0.43
O: 0.6723 0.8216 0.1492  0.43
O: 0.8508 0.6723 0.5231  0.43
O: 0.6723 0.5231 0.8508  0.43
O: 0.3277 0.4769 0.1492  0.43
Ho: 0.0000 0.0000 0.0000  0.00


Material: HoCuO3
Method: DFT, GGA-PBE
State: optimized geometry

Properties
* E_form (uncorrected): -1.796 eV per atom
* raw total energy: -6.51 eV per atom
* Fermi-level density of states: 0.979 states/eV/f.u.

Unit cell a=3.7708 b=3.7708 c=3.7708 alpha=90.00 beta=90.00 gamma=90.00
Fractional positions:
O: 0.0000 0.5000 0.5000
O: 0.5000 0.0000 0.5000
O: 0.5000 0.5000 0.0000
Cu: 0.5000 0.5000 0.5000
Ho: 0.0000 0.0000 0.0000


Material: HoCuO2
Method: DFT, GGA-PBE
State: optimized geometry

Properties
* E_form (uncorrected): -2.409 eV per atom
* raw total energy: -7.06 eV per atom
* Fermi-level density of states: 0.000 states/eV/f.u.

Unit cell a=3.5259 b=3.5263 c=6.0755 alpha=73.14 beta=73.13 gamma=60.00
Fractional positions:
O: 0.1067 0.1067 0.6800
O: 0.8933 0.8933 0.3200
Cu: 0.0000 0.0000 0.0000
Ho: 0.5000 0.5000 0.5000